VASP calculation (GGA-PBE) on a relaxed structure of Zr2ReAs.

The value obtained for the volume is 19.69 Å³ per atom.

```
Zr2ReAs
1.0
1.636 0.945 8.495
-1.636 0.945 8.495
0.000 -1.889 8.495
Zr Re As
2 1 1
Cartesian
0.000 0.000 0.000
0.000 0.000 6.002
0.000 0.000 12.308
0.000 0.000 19.154
```

=====

VASP calculation (GGA-PBE) on a relaxed structure of ZrReAs.

The value obtained for the energy above the most stable polymorph in this dataset is 0.5620 eV per atom. The value obtained for the volume is 17.74 Å³ per atom.

```
ZrReAs
1.0
0.000 2.529 6.210
1.695 0.000 6.210
1.695 2.529 0.000
Zr Re As
1 1 1
Cartesian
0.000 0.000 0.000
1.695 2.529 8.439
1.695 2.529 4.090
```

=====

VASP calculation (GGA-PBE) on a relaxed structure of ZrRe2As.

The value obtained for the volume is 16.89 Å³ per atom.

```
ZrRe2As
1.0
2.741 -5.036 0.000
2.741 5.036 0.000
-1.419 0.000 2.447
Zr Re As
1 2 1
Cartesian
0.000 0.000 0.000
0.661 2.518 1.223
0.661 -2.518 1.223
2.741 0.000 0.000
```

=====

VASP calculation (GGA-PBE) on a relaxed structure of ZrRe2As.

The value obtained for the volume is 16.77 Å³ per atom.

```
ZrRe2As
1.0
0.000 3.225 3.225
3.225 0.000 3.225
3.225 3.225 0.000
Zr Re As
1 2 1
Cartesian
0.000 0.000 0.000
1.613 1.613 1.613
3.225 3.225 3.225
4.838 4.838 4.838
```

=====

VASP calculation (GGA-PBE) on a relaxed structure of Zr2ReAs.

The value obtained for the volume is 18.55 Å³ per atom.

```
Zr2ReAs
1.0
4.600 0.000 0.000
0.000 4.600 0.000
0.000 0.000 3.506
Zr Re As
2 1 1
Cartesian
0.000 2.300 0.000
2.300 0.000 0.000
0.000 0.000 1.753
2.300 2.300 1.753
```

=====

VASP calculation (GGA-PBE) on a relaxed structure of Zr2ReAs.

The value obtained for the volume is 19.06 Å³ per atom.

```
Zr2ReAs
1.0
3.483 0.000 0.000
0.000 4.303 0.000
-1.740 0.000 5.087
Zr Re As
2 1 1
Cartesian
0.000 0.000 0.000
-0.004 2.152 2.916
1.735 0.000 2.394
1.742 2.152 0.652
```

=====

VASP calculation (GGA-PBE) on a relaxed structure of Zr2ReAs.

The value obtained for the volume is 19.24 Å³ per atom.

```
Zr2ReAs
1.0
-1.649 2.200 5.301
1.649 -2.200 5.301
1.649 2.200 -5.301
Zr Re As
2 1 1
Cartesian
0.000 0.000 0.000
0.000 2.200 2.488
0.000 0.000 5.324
1.649 0.000 3.285
```

=====

VASP calculation (GGA-PBE) on a relaxed structure of ZrReAs.

The value obtained for the energy above the most stable polymorph in this dataset is 0.6236 eV per atom. The value obtained for the volume is 19.95 Å³ per atom.

```
ZrReAs
1.0
0.000 3.105 3.105
3.105 0.000 3.105
3.105 3.105 0.000
Zr Re As
1 1 1
Cartesian
0.000 0.000 0.000
1.552 1.552 1.552
3.105 3.105 3.105
```

=====

Q: Which formation energy values were calculated for the entries above? A: 0.02, 0.06, 0.16, 0.27, -0.38, -0.56, -0.39, 0.12, in eV per atom.